(1)
The following is a PBE calculation of a geometry-optimized PuZr2Pd structure, from the Alexandria database.

Properties
The calculation puts the energy relative to the lowest polymorph listed for this composition at 0 meV/atom. The calculated formation energy comes out at -0.253 eV/atom. The density of states at the Fermi level comes out at 5.3 states/eV/cell. The space group is P4/mmm, No. 123.

Lattice parameters (Å, degrees): 3.3341 3.3341 7.6180 90.00 90.00 90.00
With the nearest neighbours (Å) after each atom.
Element x y z (fractional)
1 Zr 0.0000 0.0000 0.7230  4 Pd 2.91, 4 Pu 3.16
2 Pu 0.5000 0.5000 0.0000  8 Zr 3.16, 4 Pu 3.33
3 Zr 0.0000 0.0000 0.2770  4 Pd 2.91, 4 Pu 3.16
4 Pd 0.5000 0.5000 0.5000  8 Zr 2.91

***

(2)
The following is a PBE calculation of a geometry-optimized LiLaCeMg structure, from the Alexandria database.

Properties
The calculated formation energy comes out at 0.130 eV/atom. The density of states at the Fermi level comes out at 9.9 states/eV/cell. The space group is F-43m, No. 216.

Lattice parameters (Å, degrees): 5.4904 5.4904 5.4904 60.00 60.00 60.00
With the nearest neighbours (Å) after each atom.
Element x y z (fractional)
1 Mg 0.5000 0.5000 0.5000  4 Ce 3.36, 4 La 3.36
2 Ce 0.7500 0.7500 0.7500  4 Mg 3.36, 4 Li 3.36
3 Li 0.0000 0.0000 0.0000  4 La 3.36, 4 Ce 3.36
4 La 0.2500 0.2500 0.2500  4 Li 3.36, 4 Mg 3.36

***

(3)
The following is a PBE calculation of a geometry-optimized MnGaMoP structure, from the Alexandria database.

Properties
The calculation puts the energy relative to the lowest polymorph listed for this composition at 14 meV/atom. The calculated formation energy comes out at -0.250 eV/atom. The density of states at the Fermi level comes out at 2.5 states/eV/cell. The space group is Pmm2, No. 25.

Lattice parameters (Å, degrees): 3.0893 3.3884 5.3792 90.00 90.06 90.00
With the nearest neighbours (Å) after each atom.
Element x y z (fractional)
1 Mo 0.5100 0.5526 0.7525  4 P 2.47, 2 Ga 2.61
2 Ga 0.5114 0.0525 0.3831  4 Mn 2.48, 2 Mo 2.61
3 P 0.0102 0.0526 0.9209  2 Mn 2.28, 4 Mo 2.47
4 Mn 0.0110 0.5525 0.2051  2 P 2.28, 4 Ga 2.48

***

(4)
The following is a PBE calculation of a geometry-optimized Sc2Zn4S structure, from the Alexandria database.

Properties
The calculation puts the energy relative to the elements, uncorrected at 6.00 kcal/mol of atoms. The density of states at the Fermi level comes out at 5.0 states/eV/cell. The space group is I4/mmm, No. 139.

Lattice parameters (Å, degrees): 4.5067 4.5067 8.0029 73.65 73.65 90.00
With the nearest neighbours (Å) after each atom.
Element x y z (fractional)
1 Zn 0.0000 0.5000 0.0000  2 S 2.25
2 Sc 0.6505 0.6505 0.6989  1 Zn 2.70
3 Zn 0.5000 0.0000 0.0000  2 S 2.25
4 Zn 0.1653 0.1653 0.6694  1 S 2.43, 1 Sc 2.70
5 Sc 0.3495 0.3495 0.3011  1 Zn 2.70
6 S 0.0000 0.0000 0.0000  6 Zn 2.25-2.43
7 Zn 0.8347 0.8347 0.3306  1 S 2.43, 1 Sc 2.70

***

(5)
The following is a PBE calculation of a geometry-optimized ZrPaSn2 structure, from the Alexandria database.

Properties
The calculation puts the energy relative to the lowest polymorph listed for this composition at 23 meV/atom. The calculated formation energy comes out at -0.255 eV/atom. The density of states at the Fermi level comes out at 5.4 states/eV/cell. The space group is P4/mmm, No. 123.

Lattice parameters (Å, degrees): 4.3872 4.7195 4.7195 90.00 90.00 90.00
With the nearest neighbours (Å) after each atom.
Element x y z (fractional)
1 Zr 0.5000 0.0000 0.0000  8 Sn 3.22, 4 Pa 3.34
2 Sn 0.0000 0.5000 0.0000  4 Pa 3.22, 4 Zr 3.22, 4 Sn 3.34
3 Sn 0.0000 0.0000 0.5000  4 Pa 3.22, 4 Zr 3.22, 4 Sn 3.34
4 Pa 0.5000 0.5000 0.5000  8 Sn 3.22, 4 Zr 3.34

***

(6)
The following is a PBE calculation of a geometry-optimized FeAs structure, from the Alexandria database.

Properties
The calculated formation energy comes out at 0.133 eV/atom. The density of states at the Fermi level comes out at 15.1 states/eV/cell. The space group is P4/m, No. 83.

Lattice parameters (Å, degrees): 10.7404 10.7404 2.8083 90.00 90.00 90.00
With the nearest neighbours (Å) after each atom.
Element x y z (fractional)
1 Fe 0.7741 0.6013 0.5000  4 As 2.28-2.35, 2 Fe 2.44
2 As 0.9297 0.6803 0.0000  4 Fe 2.34-2.41
3 As 0.0703 0.3197 0.0000  4 Fe 2.34-2.41
4 As 0.3852 0.2577 0.5000  4 Fe 2.28-2.35
5 Fe 0.4614 0.1038 0.0000  4 As 2.32-2.41, 3 Fe 2.38-2.44
6 Fe 0.5386 0.8962 0.0000  4 As 2.32-2.41, 3 Fe 2.38-2.44
7 As 0.6148 0.7423 0.5000  4 Fe 2.28-2.35
8 Fe 0.1038 0.5386 0.0000  4 As 2.32-2.41, 3 Fe 2.38-2.44
9 As 0.6803 0.0703 0.0000  4 Fe 2.34-2.41
10 Fe 0.2259 0.3987 0.5000  4 As 2.28-2.35, 2 Fe 2.44
11 Fe 0.3987 0.7741 0.5000  4 As 2.28-2.35, 2 Fe 2.44
12 As 0.3197 0.9297 0.0000  4 Fe 2.34-2.41
13 Fe 0.8962 0.4614 0.0000  4 As 2.32-2.41, 3 Fe 2.38-2.44
14 As 0.2577 0.6148 0.5000  4 Fe 2.28-2.35
15 Fe 0.6013 0.2259 0.5000  4 As 2.28-2.35, 2 Fe 2.44
16 As 0.7423 0.3852 0.5000  4 Fe 2.28-2.35

***

(7)
The following is a PBE calculation of a geometry-optimized Na3GeAs2 structure, from the Alexandria database.

Properties
The calculation puts the energy relative to the lowest polymorph listed for this composition at 156 meV/atom. The calculated formation energy comes out at -0.131 eV/atom. The density of states at the Fermi level comes out at 8.2 states/eV/cell. The space group is Ibam, No. 72.

Lattice parameters (Å, degrees): 6.6642 7.7373 8.3068 117.76 113.65 90.00
With the nearest neighbours (Å) after each atom.
Element x y z (fractional)
1 As 0.3802 0.6243 0.2487  1 Ge 2.36
2 Na 0.5000 0.7500 0.0000  4 As 3.01
3 Ge 0.0000 0.5000 0.0000  2 As 2.36
4 As 0.6198 0.3757 0.7513  1 Ge 2.36
5 As 0.8685 0.1243 0.2487  1 Ge 2.36
6 Na 0.5000 0.2500 0.0000  4 As 3.01
7 Na 0.7710 0.5210 0.5421  4 As 2.92-3.18
8 As 0.1315 0.8757 0.7513  1 Ge 2.36
9 Na 0.2290 0.4790 0.4579  4 As 2.92-3.18
10 Na 0.2290 0.9790 0.4579  4 As 2.92-3.18
11 Na 0.7710 0.0210 0.5421  4 As 2.92-3.18
12 Ge 0.0000 0.0000 0.0000  2 As 2.36

***

(8)
The following is a PBE calculation of a geometry-optimized PmNd6Y2Er3 structure, from the Alexandria database.

Properties
The calculated formation energy comes out at 0.012 eV/atom. The density of states at the Fermi level comes out at 13.8 states/eV/cell. The space group is C2/m, No. 12.

Lattice parameters (Å, degrees): 6.2827 6.2827 11.8829 95.04 95.04 119.99
With the nearest neighbours (Å) after each atom.
Element x y z (fractional)
1 Y 0.6665 0.3335 0.0000  6 Nd 3.62-3.63, 3 Y 3.62-3.63, 3 Pm 3.63
2 Nd 0.7513 0.7513 0.2527  3 Er 3.57, 1 Pm 3.62, 2 Y 3.62, 6 Nd 3.63
3 Er 0.1668 0.8332 0.5000  6 Nd 3.57, 6 Er 3.63
4 Nd 0.9155 0.5824 0.7473  3 Er 3.57, 2 Y 3.62-3.63, 1 Pm 3.62, 6 Nd 3.63
5 Nd 0.5824 0.9155 0.7473  3 Er 3.57, 2 Y 3.62-3.63, 1 Pm 3.62, 6 Nd 3.63
6 Y 0.3335 0.6665 0.0000  6 Nd 3.62-3.63, 3 Y 3.62-3.63, 3 Pm 3.63
7 Nd 0.2487 0.2487 0.7473  3 Er 3.57, 1 Pm 3.62, 2 Y 3.62, 6 Nd 3.63
8 Er 0.8332 0.1668 0.5000  6 Nd 3.57, 6 Er 3.63
9 Pm 0.0000 0.0000 0.0000  6 Nd 3.62, 6 Y 3.63
10 Nd 0.0845 0.4176 0.2527  3 Er 3.57, 2 Y 3.62-3.63, 1 Pm 3.62, 6 Nd 3.63
11 Er 0.5000 0.5000 0.5000  6 Nd 3.57, 6 Er 3.63
12 Nd 0.4176 0.0845 0.2527  3 Er 3.57, 2 Y 3.62-3.63, 1 Pm 3.62, 6 Nd 3.63

***

(9)
The following is a PBE calculation of a geometry-optimized MgPd2Pt2 structure, from the Alexandria database.

Properties
The calculation puts the energy relative to the lowest polymorph listed for this composition at 0 meV/atom. The calculated formation energy comes out at -0.196 eV/atom. The density of states at the Fermi level comes out at 4.3 states/eV/cell. The space group is P4/mbm, No. 127.

Lattice parameters (Å, degrees): 6.8605 6.8605 3.6209 90.00 90.00 90.00
With the nearest neighbours (Å) after each atom.
Element x y z (fractional)
1 Pd 0.3399 0.1601 0.5000  6 Pt 2.66-2.74
2 Pt 0.6395 0.1395 0.0000  2 Mg 2.65, 6 Pd 2.66-2.74, 1 Pt 2.71
3 Pd 0.1601 0.6601 0.5000  6 Pt 2.66-2.74
4 Pd 0.6601 0.8399 0.5000  6 Pt 2.66-2.74
5 Mg 0.0000 0.0000 0.0000  4 Pt 2.65
6 Mg 0.5000 0.5000 0.0000  4 Pt 2.65
7 Pt 0.3605 0.8605 0.0000  2 Mg 2.65, 6 Pd 2.66-2.74, 1 Pt 2.71
8 Pt 0.1395 0.3605 0.0000  2 Mg 2.65, 6 Pd 2.66-2.74, 1 Pt 2.71
9 Pd 0.8399 0.3399 0.5000  6 Pt 2.66-2.74
10 Pt 0.8605 0.6395 0.0000  2 Mg 2.65, 6 Pd 2.66-2.74, 1 Pt 2.71

***

(10)
The following is a PBE calculation of a geometry-optimized DyHo2Tl3Se6 structure, from the Alexandria database.

Properties
The calculation puts the energy relative to the elements, uncorrected at -31.95 kcal/mol of atoms. The space group is C2/m, No. 12.

Lattice parameters (Å, degrees): 7.2300 7.2300 8.1409 98.51 98.51 120.00
With the nearest neighbours (Å) after each atom.
Element x y z (fractional)
1 Se 0.7334 0.7334 0.2034  2 Ho 2.88, 1 Dy 2.89
2 Se 0.5977 0.9322 0.7964  2 Ho 2.88, 1 Dy 2.89
3 Tl 0.5000 0.5000 0.5000  6 Se 3.33-3.34
4 Se 0.0678 0.4023 0.2036  2 Ho 2.88, 1 Dy 2.89
5 Tl 0.1665 0.8335 0.5000  6 Se 3.33-3.34
6 Dy 0.0000 0.0000 0.0000  6 Se 2.89
7 Se 0.4023 0.0678 0.2036  2 Ho 2.88, 1 Dy 2.89
8 Ho 0.6667 0.3333 0.0000  6 Se 2.88
9 Tl 0.8335 0.1665 0.5000  6 Se 3.33-3.34
10 Se 0.9322 0.5977 0.7964  2 Ho 2.88, 1 Dy 2.89
11 Ho 0.3333 0.6667 0.0000  6 Se 2.88
12 Se 0.2666 0.2666 0.7966  2 Ho 2.88, 1 Dy 2.89